Here is a relaxed NbZnCd2Si crystal from the Alexandria database. Energies are from PBE-GGA.

Cell lengths 4.975, 4.479, 4.975 Å; angles 90.00, 90.00, 90.00 degrees
Last column: magnetic moment on the atom in μB.
Atoms (fractional coordinates):
Zn1 0.000 0.000 0.000  0.00
Nb1 0.500 0.500 0.500  1.84
Si1 0.000 0.500 0.000  -0.04
Cd1 0.000 0.000 0.500  -0.02
Cd2 0.500 0.000 0.000  -0.01

- Volume: 111 Å³ per cell
- Raw formation energy: 994 meV per atom
- E_tot: -13.6 eV for the cell shown
- SG: P4/mmm